This record from Alexandria via LeMat-Bulk describes a geometry-optimized Li3Ac2Tl4In structure. The functional is GGA-PBE.

Geometry as POSCAR:
```
Li3Ac2Tl4In
1.0
4.8283 0.0000 0.0000
0.0000 4.8283 0.0000
0.0000 0.0000 11.4278
Li Ac Tl In
3 2 4 1
Cartesian
0.0000 0.0000 5.7139 Li
2.4142 0.0000 10.0814 Li
0.0000 2.4142 1.3464 Li
2.4142 0.0000 2.8280 Ac
0.0000 2.4142 8.5998 Ac
2.4142 2.4142 0.0000 Tl
0.0000 0.0000 0.0000 Tl
2.4142 0.0000 7.4391 Tl
0.0000 2.4142 3.9886 Tl
2.4142 2.4142 5.7139 In
```

Calculated values
**Total moment**: 0.00 μB/cell
**ρ**: 8.8 g/cm3
**Space group**: P-4m2 (115)
**DOS at the Fermi energy**: 6.0 states/eV per cell
**Formation enthalpy at 0 K**: -313 meV per atom
**Volume**: 266.4 Å³ per cell